! PBE PrHoGa2Ir2, optimized geometry; values from VASP
! VASP energy ... -6.28 eV/atom
! Energy relative to the elements ... -74 kJ per mole of atoms
! D(E_F) ... 4.57 states/eV/cell
! Crystal system ... trigonal
! Total moment ... 0.00 μB/atom
&SYSTEM
  ibrav = 0, nat = 6, ntyp = 4
/
ATOMIC_SPECIES
Ir 192.22 Ir.upf
Ga 69.72 Ga.upf
Ho 164.93 Ho.upf
Pr 140.91 Pr.upf
CELL_PARAMETERS angstrom
-2.346 3.265 -1.819
-0.275 -4.090 -1.633
-5.556 -1.449 4.566
ATOMIC_POSITIONS crystal
Ir 0.667 0.333 0.275
Ir 0.333 0.667 0.725
Ga 0.333 0.667 0.275
Ga 0.667 0.333 0.725
Ho 0.000 0.000 0.500
Pr 0.000 0.000 0.000


! PBE YRe4C2, optimized geometry; values from VASP
! VASP energy ... -10.53 eV/atom
! Energy relative to the elements ... 14 kJ per mole of atoms
! D(E_F) ... 2.86 states/eV/cell
! Crystal system ... orthorhombic
! Total moment ... 0.00 μB/atom
&SYSTEM
  ibrav = 0, nat = 7, ntyp = 3
/
ATOMIC_SPECIES
Y 88.91 Y.upf
C 12.01 C.upf
Re 186.21 Re.upf
CELL_PARAMETERS angstrom
3.947 0.000 0.000
0.000 3.958 0.000
0.000 -1.979 6.848
ATOMIC_POSITIONS crystal
Y 0.000 0.000 0.000
C 0.500 0.370 0.740
C 0.500 0.630 0.260
Re 0.000 0.316 0.631
Re 0.500 0.176 0.352
Re 0.500 0.824 0.648
Re 0.000 0.684 0.369